Record 1
First-principles (PBE) data for an optimized crystal structure of KU2AlO8, as listed in Alexandria.

Unit cell a=4.906 b=4.907 c=7.046 alpha=88.22 beta=88.21 gamma=84.85
Space group P-1 (No. 2)
Asymmetric unit:
K  0.000  0.000  0.000 [1 per cell]
U  0.490  0.490  0.259 [2 per cell]
Al  0.000  0.000  0.500 [1 per cell]
O  0.197  0.792  0.693 [2 per cell]
O  0.209  0.804  0.307 [2 per cell]
O  0.305  0.305  0.491 [2 per cell]
O  0.337  0.338  0.976 [2 per cell]

## Properties
Formation energy (no corrections) = -2.7879 eV/atom
Density = 6.59 g cm⁻³
Density of states at the Fermi level = 0.00 states/eV/cell
Uncorrected energy = -8.38 eV/atom

Record 2
First-principles (PBE) data for an optimized crystal structure of KUAlO6, as listed in Alexandria.

Unit cell a=5.2951 b=5.2951 c=6.0341 alpha=90.00 beta=90.00 gamma=120.00
Space group P312 (No. 149)
Asymmetric unit:
K  0.0000  0.0000  0.0000 [1 per cell]
U  0.3333  0.6667  0.5000 [1 per cell]
Al  0.6667  0.3333  0.5000 [1 per cell]
O  0.3862  0.0170  0.6785 [6 per cell]

## Properties
Formation energy (no corrections) = -2.2819 eV/atom
Density = 4.53 g cm⁻³
Density of states at the Fermi level = 4.77 states/eV/cell
Uncorrected energy = -7.38 eV/atom